A geometry-optimized BaSn2S3 structure. Source: Alexandria via LeMat-Bulk, functional PBE.

Values from the calculation:
magnetic moment = 0.00 μB/cell
raw formation energy = -3.4 eV per formula unit
space-group type = Cmcm (63)

Cell lengths 6.2516, 7.8561, 7.8561 Å; angles 94.11, 90.00, 90.00 degrees
Fractional coordinates of all 12 atoms:
Ba1 0.2500 0.3516 0.6484
Ba2 0.7500 0.6484 0.3516
Sn1 0.0000 0.1500 0.1500
Sn2 0.5000 0.1500 0.1500
Sn3 0.0000 0.8500 0.8500
Sn4 0.5000 0.8500 0.8500
S1 0.7500 0.1848 0.8152
S2 0.7500 0.2465 0.4080
S3 0.2500 0.4080 0.2465
S4 0.7500 0.5920 0.7535
S5 0.2500 0.7535 0.5920
S6 0.2500 0.8152 0.1848